Computed, not measured: a relaxed CdAsPtSe2 crystal at the GGA-PBE level of DFT.

Computed properties:
The value obtained for the polymorph energy (0 for the lowest one) is 0 meV/atom. The density of states at the Fermi level is 4.91 states/eV/cell. Its uncorrected formation energy is 7.865 kcal/mol of atoms.

Cell: 5.2569 5.2569 4.6218 Å, 90.00 90.00 90.00°
Last column: nearest neighbours and their distance in Å.
Fractional coordinates of all 5 atoms:
1 Cd 0.5000 0.5000 0.5000  8 Se 3.50, 4 As 3.72
2 Se 0.0000 0.5000 0.0000  2 Pt 2.63
3 Se 0.5000 0.0000 0.0000  2 Pt 2.63
4 As 0.0000 0.0000 0.5000  2 Pt 2.31
5 Pt 0.0000 0.0000 0.0000  2 As 2.31